The following is a DFT calculation (GGA-PBEsol) of a relaxed CaIrPt2 crystal.

Cell and atoms, written as CIF:
```
data_CaIrPt2
_symmetry_space_group_name_H-M 'P 1'
_symmetry_Int_Tables_number 1
_cell_length_a 3.377
_cell_length_b 3.377
_cell_length_c 6.135
_cell_angle_alpha 90.00
_cell_angle_beta 90.00
_cell_angle_gamma 90.00
loop_
_symmetry_equiv_pos_as_xyz
'x,y,z'
loop_
_atom_site_label
_atom_site_type_symbol
_atom_site_fract_x
_atom_site_fract_y
_atom_site_fract_z
_atom_site_occupancy
Ca1 Ca 0.000 0.000 0.000 1
Ir1 Ir 0.500 0.500 0.304 1
Pt1 Pt 0.000 0.000 0.482 1
Pt2 Pt 0.500 0.500 0.730 1
```

Offset from the most stable computed form   126 meV/atom
Space-group type   P4mm
Magnetization   0.00 μB/atom